No. 1
The following is a PBE calculation of a geometry-optimized LuSnAuS3 structure, from OQMD.

distance to the lowest polymorph of the same formula	11.0	meV/atom
crystal system	orthorhombic

Cell and atoms, written as CIF:
```
data_LuSnAuS3
_cell_length_a 7.341
_cell_length_b 7.341
_cell_length_c 10.204
_cell_angle_alpha 90.00
_cell_angle_beta 90.00
_cell_angle_gamma 148.52
_symmetry_space_group_name_H-M 'P 1'
_symmetry_Int_Tables_number 1
loop_
_symmetry_equiv_pos_as_xyz
'x,y,z'
loop_
_atom_site_label
_atom_site_fract_x
_atom_site_fract_y
_atom_site_fract_z
Lu1 0.000 0.000 0.000
Lu2 0.000 0.000 0.500
Sn1 0.310 0.690 0.750
Sn2 0.690 0.310 0.250
Au1 0.349 0.651 0.250
Au2 0.651 0.349 0.750
S1 0.058 0.942 0.250
S2 0.372 0.628 0.021
S3 0.372 0.628 0.479
S4 0.628 0.372 0.521
S5 0.628 0.372 0.979
S6 0.942 0.058 0.750
```

No. 2
The following is a PBE calculation of a geometry-optimized LuSnAuS3 structure, from OQMD.

distance to the lowest polymorph of the same formula	120.9	meV/atom
crystal system	monoclinic

Cell and atoms, written as CIF:
```
data_LuSnAuS3
_cell_length_a 7.638
_cell_length_b 3.943
_cell_length_c 9.544
_cell_angle_alpha 90.00
_cell_angle_beta 107.68
_cell_angle_gamma 90.00
_symmetry_space_group_name_H-M 'P 1'
_symmetry_Int_Tables_number 1
loop_
_symmetry_equiv_pos_as_xyz
'x,y,z'
loop_
_atom_site_label
_atom_site_fract_x
_atom_site_fract_y
_atom_site_fract_z
Lu1 0.195 0.250 0.164
Lu2 0.805 0.750 0.836
Sn1 0.216 0.750 0.708
Sn2 0.784 0.250 0.292
Au1 0.363 0.750 0.422
Au2 0.637 0.250 0.578
S1 0.071 0.250 0.872
S2 0.170 0.250 0.455
S3 0.437 0.750 0.183
S4 0.563 0.250 0.817
S5 0.830 0.750 0.545
S6 0.929 0.750 0.128
```

No. 3
The following is a PBE calculation of a geometry-optimized SrLuAuS3 structure, from OQMD.

distance to the lowest polymorph of the same formula	0.0	meV/atom
crystal system	monoclinic

Cell and atoms, written as CIF:
```
data_SrLuAuS3
_cell_length_a 7.699
_cell_length_b 3.954
_cell_length_c 9.396
_cell_angle_alpha 90.00
_cell_angle_beta 105.95
_cell_angle_gamma 90.00
_symmetry_space_group_name_H-M 'P 1'
_symmetry_Int_Tables_number 1
loop_
_symmetry_equiv_pos_as_xyz
'x,y,z'
loop_
_atom_site_label
_atom_site_fract_x
_atom_site_fract_y
_atom_site_fract_z
Sr1 0.240 0.250 0.278
Sr2 0.760 0.750 0.722
Lu1 0.314 0.750 0.841
Lu2 0.686 0.250 0.159
Au1 0.120 0.250 0.592
Au2 0.880 0.750 0.408
S1 0.072 0.250 0.846
S2 0.305 0.750 0.543
S3 0.435 0.750 0.136
S4 0.565 0.250 0.864
S5 0.695 0.250 0.457
S6 0.928 0.750 0.154
```

No. 4
The following is a PBE calculation of a geometry-optimized SrLuAuS3 structure, from OQMD.

distance to the lowest polymorph of the same formula	19.8	meV/atom
crystal system	orthorhombic

Cell and atoms, written as CIF:
```
data_SrLuAuS3
_cell_length_a 6.915
_cell_length_b 6.915
_cell_length_c 10.209
_cell_angle_alpha 90.00
_cell_angle_beta 90.00
_cell_angle_gamma 146.55
_symmetry_space_group_name_H-M 'P 1'
_symmetry_Int_Tables_number 1
loop_
_symmetry_equiv_pos_as_xyz
'x,y,z'
loop_
_atom_site_label
_atom_site_fract_x
_atom_site_fract_y
_atom_site_fract_z
Sr1 0.250 0.750 0.750
Sr2 0.750 0.250 0.250
Lu1 0.000 0.000 0.000
Lu2 0.000 0.000 0.500
Au1 0.460 0.540 0.250
Au2 0.540 0.460 0.750
S1 0.084 0.916 0.250
S2 0.361 0.639 0.046
S3 0.361 0.639 0.454
S4 0.639 0.361 0.546
S5 0.639 0.361 0.954
S6 0.916 0.084 0.750
```

No. 5
The following is a PBE calculation of a geometry-optimized SrLuAuS3 structure, from OQMD.

distance to the lowest polymorph of the same formula	53.1	meV/atom
crystal system	orthorhombic

Cell and atoms, written as CIF:
```
data_SrLuAuS3
_cell_length_a 12.557
_cell_length_b 3.980
_cell_length_c 10.863
_cell_angle_alpha 90.00
_cell_angle_beta 90.00
_cell_angle_gamma 90.00
_symmetry_space_group_name_H-M 'P 1'
_symmetry_Int_Tables_number 1
loop_
_symmetry_equiv_pos_as_xyz
'x,y,z'
loop_
_atom_site_label
_atom_site_fract_x
_atom_site_fract_y
_atom_site_fract_z
Sr1 0.186 0.250 0.033
Sr2 0.314 0.750 0.533
Sr3 0.686 0.250 0.467
Sr4 0.814 0.750 0.967
Lu1 0.012 0.750 0.667
Lu2 0.488 0.250 0.167
Lu3 0.512 0.750 0.833
Lu4 0.988 0.250 0.333
Au1 0.201 0.750 0.274
Au2 0.299 0.250 0.774
Au3 0.701 0.750 0.226
Au4 0.799 0.250 0.726
S1 0.035 0.750 0.166
S2 0.112 0.250 0.541
S3 0.186 0.750 0.819
S4 0.314 0.250 0.319
S5 0.388 0.750 0.041
S6 0.465 0.250 0.666
S7 0.535 0.750 0.334
S8 0.612 0.250 0.959
S9 0.686 0.750 0.681
S10 0.814 0.250 0.181
S11 0.888 0.750 0.459
S12 0.965 0.250 0.834
```

No. 6
The following is a PBE calculation of a geometry-optimized SrLuTe2AuS structure, from OQMD.

crystal system	orthorhombic
calculated total energy	-4.56	eV/atom

Cell and atoms, written as CIF:
```
data_SrLuTe2AuS
_cell_length_a 7.588
_cell_length_b 7.588
_cell_length_c 10.510
_cell_angle_alpha 90.00
_cell_angle_beta 90.00
_cell_angle_gamma 147.23
_symmetry_space_group_name_H-M 'P 1'
_symmetry_Int_Tables_number 1
loop_
_symmetry_equiv_pos_as_xyz
'x,y,z'
loop_
_atom_site_label
_atom_site_fract_x
_atom_site_fract_y
_atom_site_fract_z
Sr1 0.229 0.771 0.750
Sr2 0.771 0.229 0.250
Lu1 0.500 0.500 0.000
Lu2 0.500 0.500 0.500
Te1 0.147 0.853 0.053
Te2 0.147 0.853 0.447
Te3 0.853 0.147 0.553
Te4 0.853 0.147 0.947
Au1 0.020 0.980 0.250
Au2 0.980 0.020 0.750
S1 0.424 0.576 0.250
S2 0.576 0.424 0.750
```

No. 7
The following is a PBE calculation of a geometry-optimized SrLuTeAuS2 structure, from OQMD.

crystal system	orthorhombic
calculated total energy	-4.84	eV/atom

Cell and atoms, written as CIF:
```
data_SrLuTeAuS2
_cell_length_a 7.500
_cell_length_b 7.500
_cell_length_c 10.876
_cell_angle_alpha 90.00
_cell_angle_beta 90.00
_cell_angle_gamma 148.91
_symmetry_space_group_name_H-M 'P 1'
_symmetry_Int_Tables_number 1
loop_
_symmetry_equiv_pos_as_xyz
'x,y,z'
loop_
_atom_site_label
_atom_site_fract_x
_atom_site_fract_y
_atom_site_fract_z
Sr1 0.205 0.795 0.750
Sr2 0.795 0.205 0.250
Lu1 0.000 0.000 0.000
Lu2 0.000 0.000 0.500
Te1 0.112 0.888 0.250
Te2 0.888 0.112 0.750
Au1 0.480 0.520 0.250
Au2 0.520 0.480 0.750
S1 0.380 0.620 0.063
S2 0.380 0.620 0.437
S3 0.620 0.380 0.563
S4 0.620 0.380 0.937
```

No. 8
The following is a PBE calculation of a geometry-optimized LuSbAu2 structure, from OQMD.

crystal system	cubic
calculated total energy	-4.25	eV/atom

Cell and atoms, written as CIF:
```
data_LuSbAu2
_cell_length_a 4.931
_cell_length_b 4.931
_cell_length_c 4.931
_cell_angle_alpha 60.00
_cell_angle_beta 60.00
_cell_angle_gamma 60.00
_symmetry_space_group_name_H-M 'P 1'
_symmetry_Int_Tables_number 1
loop_
_symmetry_equiv_pos_as_xyz
'x,y,z'
loop_
_atom_site_label
_atom_site_fract_x
_atom_site_fract_y
_atom_site_fract_z
Lu1 0.000 0.000 0.000
Sb1 0.750 0.750 0.750
Au1 0.250 0.250 0.250
Au2 0.500 0.500 0.500
```